{"formula": "YHg2P", "functional": "meta-GGA SCAN", "state": "single point on PBEsol structure", "lattice": [[4.045, 0.000, 0.000], [0.000, 4.045, 0.000], [0.000, 0.000, 5.220]], "species": ["Y", "Hg", "Hg", "P"], "frac_coords": [[0.000, 0.000, 0.000], [0.000, 0.500, 0.500], [0.500, 0.000, 0.500], [0.500, 0.500, 0.000]], "dos_at_fermi_per_ev_fu": 1.17, "vol_a3_per_fu": 85.4, "formation_enthalpy_0k_ev_per_fu": -2.418}



{"formula": "BiPRhO2", "functional": "meta-GGA SCAN", "state": "single point on PBEsol structure", "lattice": [[4.002, 0.000, 0.000], [0.000, 4.002, 0.000], [0.000, 0.000, 5.588]], "species": ["Bi", "P", "Rh", "O", "O"], "frac_coords": [[0.000, 0.000, 0.000], [0.000, 0.000, 0.500], [0.500, 0.500, 0.500], [0.000, 0.500, 0.000], [0.500, 0.000, 0.000]], "dos_at_fermi_per_ev_fu": 3.86, "vol_a3_per_fu": 89.5, "e_form_raw_ev_per_atom": 0.496}



{"formula": "ZrBeAl", "functional": "meta-GGA SCAN", "state": "single point on PBEsol structure", "lattice": [[4.078, 0.000, 0.000], [-2.039, 3.532, 0.000], [0.000, 0.000, 3.235]], "species": ["Zr", "Be", "Al"], "frac_coords": [[0.000, 0.000, 0.000], [0.333, 0.667, 0.500], [0.667, 0.333, 0.500]], "dos_at_fermi_per_ev_fu": 1.25, "vol_a3_per_fu": 46.6, "formation_enthalpy_0k_ev_per_fu": -1.264}



{"formula": "Sc2ReW", "functional": "meta-GGA SCAN", "state": "single point on PBEsol structure", "lattice": [[4.455, 0.000, 0.000], [0.000, 4.455, 0.000], [0.000, 0.000, 3.442]], "species": ["Sc", "Sc", "Re", "W"], "frac_coords": [[0.000, 0.500, 0.000], [0.500, 0.000, 0.000], [0.000, 0.000, 0.500], [0.500, 0.500, 0.500]], "dos_at_fermi_per_ev_fu": 5.92, "e_above_lowest_polymorph_mev_per_atom": 509, "vol_a3_per_fu": 68.3, "formation_enthalpy_0k_ev_per_fu": 1.712}



{"formula": "MnMoS3", "functional": "meta-GGA SCAN", "state": "single point on PBEsol structure", "lattice": [[4.400, 0.000, 0.000], [0.000, 4.400, 0.000], [0.000, 0.000, 4.400]], "species": ["Mn", "Mo", "S", "S", "S"], "frac_coords": [[0.000, 0.000, 0.000], [0.500, 0.500, 0.500], [0.000, 0.000, 0.500], [0.000, 0.500, 0.000], [0.500, 0.000, 0.000]], "dos_at_fermi_per_ev_fu": 3.34, "vol_a3_per_fu": 85.2, "e_form_raw_ev_per_atom": 0.368}



{"formula": "GaB3Au", "functional": "meta-GGA SCAN", "state": "single point on PBEsol structure", "lattice": [[4.093, 0.000, 0.000], [0.000, 4.093, 0.000], [0.000, 0.000, 4.093]], "species": ["Ga", "B", "B", "B", "Au"], "frac_coords": [[0.000, 0.000, 0.000], [0.000, 0.000, 0.500], [0.000, 0.500, 0.000], [0.500, 0.000, 0.000], [0.500, 0.500, 0.500]], "dos_at_fermi_per_ev_fu": 2.60, "vol_a3_per_fu": 68.6, "formation_enthalpy_0k_ev_per_fu": 9.851}